# CeNd2S

A relaxed CeNd2S crystal (GGA-PBE, Alexandria via LeMat-Bulk).

Values from the calculation:
Formation energy without anion corrections (eV per formula unit): -3.28

Structure (POSCAR):
```
CeNd2S
1.0
3.8060 0.0000 0.0000
1.9030 3.2961 0.0000
1.9030 1.0987 9.4791
Nd S Ce
2 1 1
Direct
0.7308 0.7308 0.8076
0.2692 0.2692 0.1924
0.0000 0.0000 0.0000
0.5000 0.5000 0.5000
```

---

# CeNdSn2

A relaxed CeNdSn2 crystal (GGA-PBE, Alexandria via LeMat-Bulk).

Values from the calculation:
E_tot (eV per formula unit): -20.7

Structure (POSCAR):
```
CeNdSn2
1.0
-2.9773 -1.3397 -3.1745
1.2014 -3.1461 -3.0652
-2.9574 -6.6997 2.3349
Sn Nd Ce
2 1 1
Direct
0.7534 0.7534 0.7398
0.2466 0.2466 0.2602
0.0000 0.0000 0.0000
0.5000 0.5000 0.5000
```

---

# CsNbAl3

A relaxed CsNbAl3 crystal (GGA-PBE, Alexandria via LeMat-Bulk).

Values from the calculation:
Relative energy among the computed polymorphs (meV/atom): 0.0

Structure (POSCAR):
```
CsNbAl3
1.0
-0.5561 -5.0651 1.4553
2.1221 1.1243 4.7238
-4.8238 1.0785 1.9103
Al Nb Cs
3 1 1
Direct
0.5000 0.0000 0.0000
0.0000 0.5000 0.0000
0.0000 0.0000 0.5000
0.0000 0.0000 0.0000
0.5000 0.5000 0.5000
```

---

# Tb3Sm2Cd6

A relaxed Tb3Sm2Cd6 crystal (GGA-PBE, Alexandria via LeMat-Bulk).

Values from the calculation:
E_tot (eV per formula unit): -27.8

Structure (POSCAR):
```
Tb3Sm2Cd6
1.0
4.9988 0.0000 0.0000
0.0000 4.9988 0.0000
-2.4994 -2.4994 14.0301
Cd Tb Sm
6 3 2
Direct
0.9355 0.4355 0.8710
0.0645 0.5645 0.1290
0.5645 0.0645 0.1290
0.4355 0.9355 0.8710
0.7506 0.7506 0.5012
0.2494 0.2494 0.4988
0.1354 0.1354 0.2708
0.0000 0.0000 0.0000
0.8646 0.8646 0.7292
0.6352 0.6352 0.2705
0.3648 0.3648 0.7295
```

---

# Gd2PaAl

A relaxed Gd2PaAl crystal (GGA-PBE, Alexandria via LeMat-Bulk).

Values from the calculation:
Relative energy among the computed polymorphs (meV/atom): 233.7

Structure (POSCAR):
```
Gd2PaAl
1.0
5.2614 0.0000 0.0000
2.6307 4.5565 0.0000
2.6307 1.5188 4.2959
Pa Gd Al
1 2 1
Direct
0.5000 0.5000 0.5000
0.7500 0.7500 0.7500
0.2500 0.2500 0.2500
0.0000 0.0000 0.0000
```

---

# Ni2MoIrRh

A relaxed Ni2MoIrRh crystal (GGA-PBE, Alexandria via LeMat-Bulk).

Values from the calculation:
E_tot (eV per formula unit): -30.5

Structure (POSCAR):
```
Ni2MoIrRh
1.0
4.4000 0.0000 0.0000
0.0000 4.5628 0.0000
0.0000 0.0000 4.4000
Ni Ir Mo Rh
2 1 1 1
Direct
0.5000 0.0000 0.0000
0.0000 0.0000 0.5000
0.5000 0.5000 0.5000
0.0000 0.5000 0.0000
0.0000 0.0000 0.0000
```

---

Computed values of M_tot (unit: μB/f.u.) for the preceding records, in sequence: 1.0; 0.0; 0.1; 0.3; 15.5; 1.6.